# 1
SrFeSe: relaxed, PBE-GGA.

It has space group F-43m (No. 216), with a = 6.7249 Å, b = 6.7249 Å, c = 6.7249 Å, α = 90.00°, β = 90.00° and γ = 90.00°. The inequivalent atoms are Sr at (0.0000, 0.0000, 0.0000), Fe at (0.0000, 0.0000, 0.5000) and Se at (0.2500, 0.2500, 0.2500).

Its calculated volume is 76.03 Å³/f.u. The total moment comes out at 2.2 μB per formula unit. For the relative energy among the computed polymorphs, the calculation gives 9.815 kcal/mol of atoms. For the raw formation energy, the calculation gives -132 meV per atom. For the total energy, the calculation gives -4.675 eV per atom.

# 2
RbZrTi2O: relaxed, PBE-GGA.

It has space group P4/mmm (No. 123), with a = 5.8339 Å, b = 5.8339 Å, c = 4.1038 Å, α = 90.00°, β = 90.00° and γ = 90.00°. The inequivalent atoms are Rb at (0.0000, 0.0000, 0.0000), Zr at (0.5000, 0.5000, 0.5000), Ti at (0.0000, 0.5000, 0.5000) and O at (0.5000, 0.5000, 0.0000).

Its calculated volume is 139.67 Å³/f.u. The total moment comes out at 4.8 μB per formula unit. For the raw formation energy, the calculation gives 530 meV per atom. For the total energy, the calculation gives -5.523 eV per atom.

# 3
BaCe2Ir: relaxed, PBE-GGA.

It has space group R-3m (No. 166, hexagonal axes), with a = 4.0834 Å, b = 4.0834 Å, c = 32.0008 Å, α = 90.00°, β = 90.00° and γ = 120.00°. The inequivalent atoms are Ba at (0.0000, 0.0000, 0.0000), Ce at (0.0000, 0.0000, 0.1194) and Ir at (0.0000, 0.0000, 0.5000).

Its calculated volume is 154.03 Å³/f.u. The total moment comes out at 1.8 μB per formula unit. For the total energy, the calculation gives -5.858 eV per atom.